Record 1
## YCuTe (PBE)

Data for a relaxed structure of YCuTe.

Cell and atoms, written as POSCAR:
```
YCuTe
1.0
-1.9031 1.9031 4.8353
1.9031 -1.9031 4.8353
1.9031 1.9031 -4.8353
Y Cu Te
1 1 1
Direct
0.0000 0.0000 0.0000
0.6631 0.6631 0.0000
0.3224 0.3224 0.0000
```

Output
- size of the total moment (Bohr magnetons per cell) = 0.00

=====

Record 2
## Sc3SeF (PBE)

Data for a relaxed structure of Sc3SeF.

Cell and atoms, written as POSCAR:
```
Sc3SeF
1.0
4.4747 0.0000 0.0000
0.0000 4.4747 0.0000
0.0000 0.0000 4.4747
Sc Se F
3 1 1
Direct
0.0000 0.0000 0.5000
0.0000 0.5000 0.0000
0.5000 0.0000 0.0000
0.5000 0.5000 0.5000
0.0000 0.0000 0.0000
```

Output
- energy above the lowest structure with this stoichiometry (eV/atom) = 0.0000
- size of the total moment (Bohr magnetons per cell) = 0.00

=====

Number 1: formation energy without anion corrections -1.48 eV per formula unit. Number 2: formation energy without anion corrections -4.71 eV per formula unit.